PrMg4Sc5 | PBE | relaxed

DFT formation energy = -0.018 eV/atom

Cell lengths 3.573, 3.573, 19.270 Å; angles 90.00, 90.00, 90.00 degrees
Space group P4/mmm (No. 123)
Inequivalent atoms, fractional coordinates:
1 Pr 0.000 0.000 0.000
2 Mg 0.000 0.000 0.218
3 Mg 0.000 0.000 0.406
4 Sc 0.500 0.500 0.123
5 Sc 0.500 0.500 0.312
6 Sc 0.500 0.500 0.500